No. 1
## TbSc4Al (PBE-GGA)

Data for crystalline TbSc4Al at its relaxed geometry.

Structure (extended XYZ):
```
6
Lattice="4.369 -2.530 0.000 4.369 2.530 0.000 -0.028 0.000 6.476" Properties=species:S:1:pos:R:3 pbc="T T T"
Tb 0.000 0.000 0.000
Sc 2.883 0.000 5.502
Sc 2.905 0.000 2.299
Sc 5.804 0.000 4.177
Sc 5.827 0.000 0.974
Al -0.014 0.000 3.238
```


No. 2
10
Lattice="6.106 -1.695 0.000 6.106 1.695 0.000 -0.946 0.000 11.693" Properties=species:S:1:pos:R:3 comment="TbSc3Al | Alexandria via LeMat-Bulk | PBE-GGA | optimized geometry" polymorph_energy_ev_per_fu=0.00 pbc="T T T"
Tb 2.603 0.000 2.943
Tb 8.662 0.000 8.750
Sc -0.301 0.000 8.065
Sc 0.839 0.000 11.141
Sc 3.982 0.000 6.047
Sc 7.284 0.000 5.646
Sc 10.427 0.000 0.553
Sc 11.566 0.000 3.628
Al 4.722 0.000 10.265
Al 6.544 0.000 1.428


No. 3
## Tb12ScAl3 (PBE-GGA)

Data for crystalline Tb12ScAl3 at its relaxed geometry.

Structure (extended XYZ):
```
16
Lattice="4.797 0.000 0.000 0.000 4.797 0.000 0.000 0.000 19.433" Properties=species:S:1:pos:R:3 pbc="T T T"
Tb 0.000 0.000 0.000
Tb 0.000 0.000 4.783
Tb 0.000 0.000 9.717
Tb 0.000 0.000 14.650
Tb 0.000 2.398 2.396
Tb 0.000 2.398 7.183
Tb 0.000 2.398 12.250
Tb 0.000 2.398 17.037
Tb 2.398 0.000 2.396
Tb 2.398 0.000 7.183
Tb 2.398 0.000 12.250
Tb 2.398 0.000 17.037
Sc 2.398 2.398 9.717
Al 2.398 2.398 0.000
Al 2.398 2.398 4.742
Al 2.398 2.398 14.691
```


No. 4
## TbScAlTc (PBE-GGA)

Data for crystalline TbScAlTc at its relaxed geometry.

Structure (extended XYZ):
```
4
Lattice="0.000 3.422 3.422 3.422 0.000 3.422 3.422 3.422 0.000" Properties=species:S:1:pos:R:3 pbc="T T T"
Tb 0.000 0.000 0.000
Sc 3.422 3.422 3.422
Al 1.711 1.711 1.711
Tc 5.133 5.133 5.133
```


No. 5
## TbScTiAl (PBE-GGA)

Data for crystalline TbScTiAl at its relaxed geometry.

Structure (extended XYZ):
```
4
Lattice="0.000 3.541 3.541 3.541 0.000 3.541 3.541 3.541 0.000" Properties=species:S:1:pos:R:3 pbc="T T T"
Tb 0.000 0.000 0.000
Sc 3.541 3.541 3.541
Ti 1.770 1.770 1.770
Al 5.311 5.311 5.311
```


No. 6
4
Lattice="3.310 0.000 0.000 0.000 3.310 0.000 0.000 0.000 8.573" Properties=species:S:1:pos:R:3 comment="TbScAlTl | Alexandria via LeMat-Bulk | PBE-GGA | optimized geometry" polymorph_energy_ev_per_fu=0.00 pbc="T T T"
Tb 0.000 0.000 0.000
Sc 0.000 0.000 4.613
Al 1.655 1.655 6.477
Tl 1.655 1.655 2.414


No. 7
4
Lattice="0.000 3.621 3.621 3.621 0.000 3.621 3.621 3.621 0.000" Properties=species:S:1:pos:R:3 comment="TbScAlTl | Alexandria via LeMat-Bulk | PBE-GGA | optimized geometry" polymorph_energy_ev_per_fu=0.12 pbc="T T T"
Tb 0.000 0.000 0.000
Sc 3.621 3.621 3.621
Al 5.431 5.431 5.431
Tl 1.810 1.810 1.810


No. 8
## TbYScAl (PBE-GGA)

Data for crystalline TbYScAl at its relaxed geometry.

Structure (extended XYZ):
```
4
Lattice="0.000 3.711 3.711 3.711 0.000 3.711 3.711 3.711 0.000" Properties=species:S:1:pos:R:3 pbc="T T T"
Tb 0.000 0.000 0.000
Y 3.711 3.711 3.711
Sc 1.856 1.856 1.856
Al 5.567 5.567 5.567
```


No. 9
## TbSc2Al2Zn2 (PBE-GGA)

Data for crystalline TbSc2Al2Zn2 at its relaxed geometry.

Structure (extended XYZ):
```
7
Lattice="2.216 1.280 8.552 -2.216 1.280 8.552 0.000 -2.559 8.552" Properties=species:S:1:pos:R:3 pbc="T T T"
Tb 0.000 0.000 0.000
Sc 0.000 0.000 3.356
Sc 0.000 0.000 22.299
Al 0.000 0.000 6.583
Al 0.000 0.000 19.072
Zn 0.000 0.000 10.453
Zn 0.000 0.000 15.202
```


No. 10
9
Lattice="-2.373 3.328 6.845 2.373 -3.328 6.845 2.373 3.328 -6.845" Properties=species:S:1:pos:R:3 comment="Sc6Al2Tc | Alexandria via LeMat-Bulk | PBE-GGA | optimized geometry" polymorph_energy_ev_per_fu=1.57 pbc="T T T"
Sc 2.373 1.631 -2.145
Sc 0.000 1.545 0.000
Sc 2.373 1.631 2.145
Sc 0.000 1.697 4.701
Sc 0.000 5.112 0.000
Sc 0.000 1.697 8.990
Al 2.373 0.000 4.554
Al 0.000 3.328 2.291
Tc 2.373 0.000 0.000


No. 11
4
Lattice="1.584 0.914 9.015 -1.584 0.914 9.015 0.000 -1.829 9.015" Properties=species:S:1:pos:R:3 comment="Sc2AlTc | Alexandria via LeMat-Bulk | PBE-GGA | optimized geometry" polymorph_energy_ev_per_fu=1.39 pbc="T T T"
Sc 0.000 0.000 0.000
Sc 0.000 0.000 6.127
Al 0.000 0.000 12.796
Tc 0.000 0.000 20.009


No. 12
## Sc5Al4Tc (PBE-GGA)

Data for crystalline Sc5Al4Tc at its relaxed geometry.

Structure (extended XYZ):
```
10
Lattice="3.368 0.000 0.000 0.000 3.368 0.000 0.000 0.000 16.668" Properties=species:S:1:pos:R:3 pbc="T T T"
Sc 0.000 0.000 0.000
Sc 0.000 0.000 3.416
Sc 0.000 0.000 6.859
Sc 0.000 0.000 9.808
Sc 0.000 0.000 13.251
Al 1.684 1.684 1.705
Al 1.684 1.684 5.157
Al 1.684 1.684 11.510
Al 1.684 1.684 14.962
Tc 1.684 1.684 8.334
```


No. 13
3
Lattice="-1.664 1.664 4.577 1.664 -1.664 4.577 1.664 1.664 -4.577" Properties=species:S:1:pos:R:3 comment="ScAlTc | Alexandria via LeMat-Bulk | PBE-GGA | optimized geometry" polymorph_energy_ev_per_fu=0.33 pbc="T T T"
Sc 0.000 0.000 0.000
Al 0.000 0.000 6.378
Tc 0.000 0.000 3.011


No. 14
4
Lattice="-2.125 2.125 3.951 2.125 -2.125 3.951 2.125 2.125 -3.951" Properties=species:S:1:pos:R:3 comment="Sc2AlTc | Alexandria via LeMat-Bulk | PBE-GGA | optimized geometry" polymorph_energy_ev_per_fu=0.55 pbc="T T T"
Sc 0.000 0.000 0.000
Sc 0.000 2.125 1.976
Al 0.000 0.000 3.951
Tc 2.125 0.000 1.976


No. 15
3
Lattice="3.142 0.000 0.000 -1.571 2.721 0.000 0.000 0.000 6.272" Properties=species:S:1:pos:R:3 comment="ScAlTc | Alexandria via LeMat-Bulk | PBE-GGA | optimized geometry" polymorph_energy_ev_per_fu=1.23 pbc="T T T"
Sc 0.000 0.000 0.000
Al 0.000 1.814 3.798
Tc 1.571 0.907 1.974


No. 16
3
Lattice="0.000 2.305 6.392 1.741 0.000 6.392 1.741 2.305 0.000" Properties=species:S:1:pos:R:3 comment="ScAlTc | Alexandria via LeMat-Bulk | PBE-GGA | optimized geometry" polymorph_energy_ev_per_fu=0.97 pbc="T T T"
Sc 0.000 0.000 0.000
Al 1.741 2.305 3.965
Tc 1.741 2.305 8.476


No. 17
9
Lattice="4.733 -2.312 0.000 4.733 2.312 0.000 -1.419 0.000 8.499" Properties=species:S:1:pos:R:3 comment="Sc6Al2Tc | Alexandria via LeMat-Bulk | PBE-GGA | optimized geometry" polymorph_energy_ev_per_fu=0.00 pbc="T T T"
Sc -0.057 0.000 2.739
Sc 1.565 0.000 6.177
Sc 3.322 0.000 0.735
Sc 4.726 0.000 7.764
Sc 6.483 0.000 2.322
Sc 8.105 0.000 5.760
Al 2.926 0.000 3.593
Al 5.122 0.000 4.906
Tc 0.000 0.000 0.000


No. 18
8
Lattice="-1.976 1.976 9.803 1.976 -1.976 9.803 1.976 1.976 -9.803" Properties=species:S:1:pos:R:3 comment="Sc2AlTc | Alexandria via LeMat-Bulk | PBE-GGA | optimized geometry" polymorph_energy_ev_per_fu=2.88 pbc="T T T"
Sc 2.964 0.933 -2.451
Sc 0.933 0.988 2.451
Sc -0.988 1.043 7.352
Sc 1.043 0.988 12.254
Al 1.976 0.000 4.902
Al 0.000 0.000 9.803
Tc 0.000 0.000 0.000
Tc 0.000 1.976 4.902


No. 19
3
Lattice="0.000 3.137 3.137 3.137 0.000 3.137 3.137 3.137 0.000" Properties=species:S:1:pos:R:3 comment="ScAlTc | Alexandria via LeMat-Bulk | PBE-GGA | optimized geometry" polymorph_energy_ev_per_fu=3.79 pbc="T T T"
Sc 0.000 0.000 0.000
Al 1.568 1.568 1.568
Tc 4.705 4.705 4.705


No. 20
4
Lattice="4.317 0.000 0.000 0.000 1.710 5.240 0.000 -1.710 5.240" Properties=species:S:1:pos:R:3 comment="Sc2AlTc | Alexandria via LeMat-Bulk | PBE-GGA | optimized geometry" polymorph_energy_ev_per_fu=0.57 pbc="T T T"
Sc 0.000 0.000 0.000
Sc 2.159 0.000 3.199
Al 0.000 0.000 7.518
Tc 2.159 0.000 6.151


no.,DOS(E_F) (states/eV/f.u.),DFT total energy (eV for the cell shown)
1,8.8,-34.025
2,7.0,-56.290
3,20.1,-75.136
4,3.0,-25.934
5,4.7,-22.918
6,2.8,-18.423
7,1.7,-18.305
8,6.0,-21.623
9,4.7,-29.558
10,8.1,-55.871
11,3.6,-26.889
12,5.2,-61.369
13,3.2,-21.597
14,4.9,-27.729
15,2.7,-20.688
16,2.6,-20.955
17,11.0,-57.439
18,4.5,-50.804
19,7.4,-18.130
20,4.5,-27.718